KAu3S: relaxed, PBE-GGA.

The mass density comes out at 8.5 g/cm3. The value obtained for the size of the total moment is 0.000 μB per atom. The uncorrected formation energy is 0.05 eV per atom.

The space group is Pm-3m (No. 221) and the conventional cell measures 5.050, 5.050 and 5.050 Å, with angles of 90.00, 90.00 and 90.00 degrees. The inequivalent atoms are K at (0.000, 0.000, 0.000), Au at (0.000, 0.500, 0.500) and S at (0.500, 0.500, 0.500).

K2SbAuS4: relaxed, PBE-GGA.

The mass density comes out at 3.5 g/cm3. The value obtained for the size of the total moment is 0.000 μB per atom. The uncorrected formation energy is -0.47 eV per atom.

The space group is Fddd (No. 70, origin choice 2) and the conventional cell measures 6.422, 13.401 and 23.431 Å, with angles of 90.00, 90.00 and 90.00 degrees. The inequivalent atoms are K at (0.125, 0.125, 0.309), Sb at (0.125, 0.125, 0.625), Au at (0.125, 0.125, 0.125) and S at (0.094, 0.268, 0.821).